Below is a geometry-optimized InOF structure, with properties calculated at the PBE-GGA level.

a = 8.608 Å, b = 8.608 Å, c = 8.608 Å
α = 23.39°, β = 23.39°, γ = 23.39°
Element x y z (fractional)
In1 0.103 0.103 0.103
In2 0.897 0.897 0.897
O1 0.205 0.205 0.205
O2 0.795 0.795 0.795
F1 0.388 0.388 0.388
F2 0.612 0.612 0.612

Results
DOS(E_F) ... 0.00 states/eV per cell
Calculated volume ... 88.3 Å³/cell
Raw formation energy ... -1.907 eV/atom
Spin magnetization ... 0.0 μB/cell
Space-group type ... R-3m (166)